{
  "formula": "CaNpMn2O6",
  "functional": "PBE+U",
  "state": "optimized geometry",
  "lattice": [[4.427, 0.000, 0.000], [0.000, 5.976, 0.000], [0.000, 0.000, 5.976]],
  "species": ["Ca", "Np", "Mn", "Mn", "O", "O", "O", "O", "O", "O"],
  "frac_coords": [[0.605, 0.500, 0.500], [0.689, 0.000, 0.000], [0.936, 0.500, 0.000], [0.936, 0.000, 0.500], [0.740, 0.237, 0.237], [0.740, 0.237, 0.763], [0.121, 0.500, 0.500], [0.200, 0.000, 0.000], [0.740, 0.763, 0.763], [0.740, 0.763, 0.237]],
  "m_tot_mub_per_cell": 9.01,
  "final_energy_ev_per_atom": -7.947
}